Entry from Alexandria via LeMat-Bulk: a relaxed PuMgInSn crystal (GGA-PBE).

Cell lengths 4.460, 4.626, 4.801 Å; angles 90.00, 90.00, 90.00 degrees
Space group Pmmm (No. 47)
Inequivalent atoms, fractional coordinates:
Pu 0.000 0.000 0.000 (multiplicity 1)
Mg 0.000 0.500 0.500 (multiplicity 1)
In 0.500 0.000 0.500 (multiplicity 1)
Sn 0.500 0.500 0.000 (multiplicity 1)

The density comes out at 8.41 g/cm3. The formation energy from the elements is -0.27 eV per atom.


Entry from Alexandria via LeMat-Bulk: a relaxed Hg12Au5Br3 crystal (GGA-PBE).

Cell lengths 17.385, 17.385, 17.385 Å; angles 90.00, 90.00, 90.00 degrees
Space group Ia-3d (No. 230)
Inequivalent atoms, fractional coordinates:
Hg 0.046 0.074 0.635 (multiplicity 96)
Au 0.000 0.000 0.000 (multiplicity 16)
Au 0.000 0.250 0.375 (multiplicity 24)
Br 0.000 0.250 0.125 (multiplicity 24)

The density comes out at 9.18 g/cm3. As for the formation energy from raw total energies: 25 meV/atom.


Entry from Alexandria via LeMat-Bulk: a relaxed AcAg2 crystal (GGA-PBE).

Cell lengths 8.485, 8.485, 8.485 Å; angles 90.00, 90.00, 90.00 degrees
Space group Fd-3m (No. 227, origin choice 2)
Inequivalent atoms, fractional coordinates:
Ac 0.125 0.125 0.125 (multiplicity 8)
Ag 0.000 0.000 0.500 (multiplicity 16)

The density comes out at 9.63 g/cm3. The formation energy from the elements is -0.14 eV per atom.


Entry from Alexandria via LeMat-Bulk: a relaxed Cd2GePtI crystal (GGA-PBE).

Cell lengths 5.438, 5.438, 4.683 Å; angles 90.00, 90.00, 90.00 degrees
Space group P4/mmm (No. 123)
Inequivalent atoms, fractional coordinates:
Cd 0.000 0.500 0.000 (multiplicity 2)
Ge 0.000 0.000 0.500 (multiplicity 1)
Pt 0.000 0.000 0.000 (multiplicity 1)
I 0.500 0.500 0.500 (multiplicity 1)

The density comes out at 7.43 g/cm3. As for the formation energy from raw total energies: -189 meV/atom.